Record 1
# Dy5P12Ir19

A geometry-optimized Dy5P12Ir19 structure (PBE, Alexandria via LeMat-Bulk).

- total magnetization (μB/f.u.) = 0.00
- energy of formation from the pure elements (eV/atom) = -0.795

abc: 12.7076 12.7076 3.9838
angles: 90.00 90.00 120.00
Space group P-62m (No. 189)
Unique sites:
1 Dy 0.0000 0.8165 0.0000
2 Dy 0.3333 0.6667 0.5000
3 P 0.0000 0.1783 0.5000
4 P 0.0000 0.6439 0.5000
5 P 0.1710 0.4833 0.0000
6 Ir 0.0000 0.0000 0.5000
7 Ir 0.0000 0.2862 0.0000
8 Ir 0.0000 0.4643 0.5000
9 Ir 0.1332 0.6400 0.0000
10 Ir 0.1805 0.3750 0.5000

***

Record 2
# Nd8CoRu2

A geometry-optimized Nd8CoRu2 structure (PBE, Alexandria via LeMat-Bulk).

- total magnetization (μB/f.u.) = 0.00
- energy of formation from the pure elements (eV/atom) = -0.037

abc: 8.3758 12.8449 6.3632
angles: 90.00 111.73 90.00
Space group Cm (No. 8)
Unique sites:
1 Nd 0.0000 0.0000 0.0000
2 Nd 0.0713 0.3670 0.8014
3 Nd 0.1378 0.1309 0.5743
4 Nd 0.2026 0.5000 0.3891
5 Nd 0.3481 0.1993 0.2007
6 Co 0.3546 0.0000 0.3841
7 Ru 0.3566 0.3106 0.6866

***

Record 3
# Sr3ScB3O9

A geometry-optimized Sr3ScB3O9 structure (PBE, Alexandria via LeMat-Bulk).

- total magnetization (μB/f.u.) = 0.00
- raw formation energy (meV per atom) = -2937.8

abc: 12.2777 12.2777 9.2860
angles: 90.00 90.00 120.00
Space group R-3 (No. 148, hexagonal axes)
Unique sites:
1 Sr 0.0405 0.4689 0.3091
2 Sc 0.0000 0.0000 0.0000
3 Sc 0.0000 0.0000 0.5000
4 B 0.0542 0.1927 0.2340
5 O 0.0012 0.2626 0.1894
6 O 0.0385 0.8820 0.1383
7 O 0.0517 0.1637 0.3800

***

Record 4
# La4HoN4

A geometry-optimized La4HoN4 structure (PBE, Alexandria via LeMat-Bulk).

- total magnetization (μB/f.u.) = 0.90
- raw formation energy (meV per atom) = -1260.4

abc: 12.2555 3.6545 9.1822
angles: 90.00 120.28 90.00
Space group C2/m (No. 12)
Unique sites:
1 La 0.1026 0.0000 0.3771
2 La 0.2069 0.5000 0.8134
3 Ho 0.0000 0.5000 0.0000
4 N 0.0974 0.0000 0.9126
5 N 0.1875 0.5000 0.2887

***

Record 5
# TmTh5Pt6

A geometry-optimized TmTh5Pt6 structure (PBE, Alexandria via LeMat-Bulk).

- total magnetization (μB/f.u.) = 0.00
- energy of formation from the pure elements (eV/atom) = -1.207

abc: 7.1623 12.3351 7.3533
angles: 90.00 108.63 90.00
Space group C2/m (No. 12)
Unique sites:
1 Tm 0.0000 0.0000 0.0000
2 Th 0.0000 0.1686 0.5000
3 Th 0.0000 0.3333 0.0000
4 Th 0.0000 0.5000 0.5000
5 Pt 0.2468 0.0000 0.7505
6 Pt 0.2484 0.1649 0.2492

***

Record 6
# Zn3P

A geometry-optimized Zn3P structure (PBE, Alexandria via LeMat-Bulk).

- total magnetization (μB/f.u.) = 0.00
- energy of formation from the pure elements (eV/atom) = 0.186
- relative energy among the computed polymorphs (eV/atom) = 0.149

abc: 3.0544 3.0544 23.2288
angles: 90.00 90.00 120.00
Space group R-3m (No. 166, hexagonal axes)
Unique sites:
1 Zn 0.0000 0.0000 0.0000
2 Zn 0.0000 0.0000 0.2484
3 P 0.0000 0.0000 0.5000

***

> Which value of total magnetization does entry 6 give?

0.00 μB/f.u.